A relaxed Pm2PrNd2Er2 crystal. Source: Alexandria, functional PBE-GGA.

```
Pm2PrNd2Er2
1.0
-2.2431 2.7087 0.0723
-3.1128 -4.9135 1.9336
1.4585 0.8915 11.8463
Er Nd Pm Pr
2 2 2 1
direct
0.5908 0.1816 0.2252
0.4092 0.8184 0.7748
0.6549 0.3098 0.9272
0.3451 0.6902 0.0728
0.7051 0.4103 0.6316
0.2949 0.5897 0.3684
0.0000 0.0000 0.5000
```

Summary:
SG ... C2/m, No. 12
Energy ... -4.556 eV per atom
DOS at the Fermi energy ... 12.121 states/eV/cell
Crystal system ... monoclinic
ΔE_f ... 0.150 eV per atom

***

A relaxed Pm2Pr3NdEr6 crystal. Source: Alexandria, functional PBE-GGA.

```
Pm2Pr3NdEr6
1.0
6.2491 -0.0004 0.0045
-3.1233 5.4125 0.0045
-1.0473 -1.8134 11.5948
Er Pm Pr Nd
6 2 3 1
direct
0.4163 0.0829 0.2487
0.9171 0.5837 0.7513
0.2506 0.2506 0.7514
0.0829 0.4163 0.2487
0.7494 0.7494 0.2486
0.5837 0.9171 0.7513
0.6666 0.3334 0.0000
0.3334 0.6666 0.0000
0.1667 0.8333 0.5000
0.8333 0.1667 0.5000
0.5000 0.5000 0.5000
0.0000 0.0000 0.0000
```

Summary:
SG ... C2/m, No. 12
Energy ... -4.651 eV per atom
DOS at the Fermi energy ... 12.624 states/eV/cell
Crystal system ... monoclinic
ΔE_f ... 0.014 eV per atom

***

A relaxed PmPr2NdEr2 crystal. Source: Alexandria, functional PBE-GGA.

```
PmPr2NdEr2
1.0
5.7118 0.0000 0.0000
0.0000 6.9518 0.0000
0.0000 0.0000 10.2669
Pm Er Pr Nd
2 4 4 2
direct
0.0000 0.9650 0.4754
0.0000 0.4650 0.5246
0.5000 0.2124 0.3705
0.0000 0.8031 0.1319
0.0000 0.3031 0.8681
0.5000 0.7124 0.6295
0.5000 0.5495 0.9750
0.0000 0.8138 0.8036
0.5000 0.0495 0.0250
0.0000 0.3138 0.1964
0.5000 0.2018 0.6934
0.5000 0.7018 0.3066
```

Summary:
SG ... Pmc2_1, No. 26
Energy ... -4.628 eV per atom
DOS at the Fermi energy ... 17.116 states/eV/cell
Crystal system ... orthorhombic
ΔE_f ... 0.072 eV per atom

***

A relaxed PmPr6Nd3Er2 crystal. Source: Alexandria, functional PBE-GGA.

```
PmPr6Nd3Er2
1.0
-4.8479 -3.6637 1.8993
4.4424 -2.3651 -3.8992
6.5068 -1.5396 10.0804
Pr Er Pm Nd
6 2 1 3
direct
0.7486 0.7486 0.2464
0.2514 0.2514 0.7536
0.5829 0.9173 0.7536
0.4171 0.0827 0.2464
0.9173 0.5829 0.7536
0.0827 0.4171 0.2464
0.3335 0.6665 0.0000
0.6665 0.3335 0.0000
0.0000 0.0000 0.0000
0.8331 0.1669 0.5000
0.1669 0.8331 0.5000
0.5000 0.5000 0.5000
```

Summary:
SG ... C2/m, No. 12
Energy ... -4.724 eV per atom
DOS at the Fermi energy ... 16.693 states/eV/cell
Crystal system ... monoclinic
ΔE_f ... 0.014 eV per atom